Below is a relaxed structure of Hf2TaI, with properties calculated at the GGA-PBE level.

Theoretical density, g/cm3: 11.940
Formation energy (no corrections), eV/atom: 0.821
N(E_F), states/eV/cell: 8.2
E, eV/atom: -7.506

Cell lengths 4.276, 4.276, 10.557 Å; angles 78.32, 78.32, 90.00 degrees
Fractional positions:
I 0.500 0.500 0.000
I 0.250 0.750 0.500
Hf 0.628 0.125 0.250
Hf 0.122 0.625 0.250
Hf 0.375 0.372 0.750
Hf 0.875 0.878 0.750
Ta 0.000 0.000 0.000
Ta 0.750 0.250 0.500